(1)
The following is a GGA-PBEsol calculation of a relaxed structure of LaZrRh2, from the Alexandria database.

Cell: 3.8259 3.8259 5.6731 Å, 90.00 90.00 90.00°
With the nearest neighbours (Å) after each atom.
Space group P4mm (No. 99)
One atom of each set of equivalent atoms:
La 0.0000 0.0000 0.0000 (multiplicity 1)  6 Rh 2.75-2.85
Zr 0.5000 0.5000 0.5731 (multiplicity 1)  6 Rh 2.74-2.92
Rh 0.0000 0.0000 0.4983 (multiplicity 1)  4 Zr 2.74, 2 La 2.83-2.85
Rh 0.5000 0.5000 0.0876 (multiplicity 1)  4 La 2.75, 2 Zr 2.75-2.92

Summary:
Energy of formation   -407 meV per atom



(2)
The following is a GGA-PBEsol calculation of a relaxed structure of SiRu2W2, from the Alexandria database.

Cell: 3.7392 3.7392 11.8439 Å, 90.00 90.00 90.00°
With the nearest neighbours (Å) after each atom.
Space group I4/mmm (No. 139)
One atom of each set of equivalent atoms:
Si 0.0000 0.0000 0.0000 (multiplicity 2)  8 W 2.94
Ru 0.0000 0.5000 0.2500 (multiplicity 4)  4 W 2.51, 4 Ru 2.64
W 0.0000 0.0000 0.3916 (multiplicity 4)  4 Ru 2.51, 1 W 2.57

Summary:
Energy relative to the elements, uncorrected   0.731 eV per atom



(3)
The following is a GGA-PBEsol calculation of a relaxed structure of Rb2Hg2P, from the Alexandria database.

Cell: 6.7776 6.7776 7.9690 Å, 90.00 90.00 90.00°
With the nearest neighbours (Å) after each atom.
Space group I4/mmm (No. 139)
One atom of each set of equivalent atoms:
Rb 0.0000 0.5000 0.2500 (multiplicity 4)  4 Hg 3.43
Hg 0.0000 0.0000 0.1797 (multiplicity 4)  1 P 2.55
P 0.0000 0.0000 0.5000 (multiplicity 2)  2 Hg 2.55

Summary:
Energy of formation   -64 meV per atom



(4)
The following is a GGA-PBEsol calculation of a relaxed structure of MgZnO2, from the Alexandria database.

Cell: 3.2688 3.2688 5.1363 Å, 90.00 90.00 120.00°
With the nearest neighbours (Å) after each atom.
Space group P3m1 (No. 156)
One atom of each set of equivalent atoms:
Mg 0.0000 0.0000 0.0000 (multiplicity 1)  4 O 1.97-1.99
Zn 0.6667 0.3333 0.4933 (multiplicity 1)  4 O 1.98
O 0.0000 0.0000 0.6120 (multiplicity 1)  3 Zn 1.98, 1 Mg 1.99
O 0.6667 0.3333 0.1078 (multiplicity 1)  3 Mg 1.97, 1 Zn 1.98

Summary:
Energy relative to the elements, uncorrected   -2.037 eV per atom
Excess energy over the best structure of this formula in the dataset   3 meV/atom



(5)
The following is a GGA-PBEsol calculation of a relaxed structure of InRe2PdS, from the Alexandria database.

Cell: 4.9872 4.9872 4.7548 Å, 90.00 90.00 90.00°
With the nearest neighbours (Å) after each atom.
Space group P4/mmm (No. 123)
One atom of each set of equivalent atoms:
In 0.0000 0.0000 0.0000 (multiplicity 1)  2 Pd 2.38, 4 Re 2.49
Re 0.0000 0.5000 0.0000 (multiplicity 2)  2 In 2.49
Pd 0.0000 0.0000 0.5000 (multiplicity 1)  2 In 2.38
S 0.5000 0.5000 0.5000 (multiplicity 1)  8 Re 3.45, 4 Pd 3.53

Summary:
Energy relative to the elements, uncorrected   2.726 eV per atom



(6)
The following is a GGA-PBEsol calculation of a relaxed structure of CaLaMn2Mo, from the Alexandria database.

Cell: 4.6850 4.6850 5.1665 Å, 90.00 90.00 90.00°
With the nearest neighbours (Å) after each atom.
Space group P4/mmm (No. 123)
One atom of each set of equivalent atoms:
Ca 0.0000 0.0000 0.0000 (multiplicity 1)  2 Mo 2.58
La 0.5000 0.5000 0.0000 (multiplicity 1)  4 Ca 3.31, 8 Mn 3.49
Mn 0.0000 0.5000 0.5000 (multiplicity 2)  2 Mo 2.34
Mo 0.0000 0.0000 0.5000 (multiplicity 1)  4 Mn 2.34, 2 Ca 2.58

Summary:
Energy of formation   902 meV per atom



(7)
The following is a GGA-PBEsol calculation of a relaxed structure of SiPHS2, from the Alexandria database.

Cell: 4.4611 4.4611 4.4921 Å, 90.00 90.00 90.00°
With the nearest neighbours (Å) after each atom.
Space group P4/mmm (No. 123)
One atom of each set of equivalent atoms:
Si 0.0000 0.0000 0.0000 (multiplicity 1)  4 S 2.23, 2 P 2.25
P 0.0000 0.0000 0.5000 (multiplicity 1)  2 Si 2.25
H 0.5000 0.5000 0.5000 (multiplicity 1)  4 P 3.15, 8 S 3.17
S 0.0000 0.5000 0.0000 (multiplicity 2)  2 Si 2.23

Summary:
Electronic total energy   -3.80 eV per atom



(8)
The following is a GGA-PBEsol calculation of a relaxed structure of NiAs2Br, from the Alexandria database.

Cell: 4.6638 4.6721 6.8336 Å, 90.00 90.00 90.00°
With the nearest neighbours (Å) after each atom.
Space group Cmm2 (No. 35)
One atom of each set of equivalent atoms:
Ni 0.0000 0.0000 0.0000 (multiplicity 2)  5 As 2.43-2.55
As 0.0000 0.0000 0.6443 (multiplicity 2)  1 Ni 2.43, 2 As 2.72
As 0.0000 0.5000 0.8493 (multiplicity 2)  4 Ni 2.55, 4 As 2.72, 1 Br 2.83
Br 0.0000 0.5000 0.2633 (multiplicity 2)  1 As 2.83, 4 Ni 2.95

Summary:
Energy relative to the elements, uncorrected   0.180 eV per atom
Excess energy over the best structure of this formula in the dataset   0 meV/atom



(9)
The following is a GGA-PBEsol calculation of a relaxed structure of Ti5PO11, from the Alexandria database.

Cell: 7.5131 13.7932 9.8202 Å, 90.00 129.66 90.00°
With the nearest neighbours (Å) after each atom.
Space group P2_1/c (No. 14)
One atom of each set of equivalent atoms:
Ti 0.0092 0.1534 0.1535 (multiplicity 4)  3 O 1.75-1.95
Ti 0.2388 0.1718 0.5379 (multiplicity 4)  6 O 1.92-2.11
Ti 0.2742 0.6751 0.2020 (multiplicity 4)  6 O 1.92-2.12
Ti 0.4472 0.0045 0.2152 (multiplicity 4)  4 O 1.86-2.00
Ti 0.4572 0.1677 0.9084 (multiplicity 4)  6 O 1.89-2.10
P 0.2514 0.6202 0.8704 (multiplicity 4)  3 O 1.62-1.69
O 0.0092 0.7448 0.9955 (multiplicity 4)  3 Ti 1.95-1.97
O 0.0252 0.6079 0.1762 (multiplicity 4)  3 Ti 1.95
O 0.2025 0.0680 0.1803 (multiplicity 4)  2 Ti 1.75-1.86
O 0.2401 0.2405 0.3658 (multiplicity 4)  3 Ti 1.89-2.05
O 0.2730 0.5931 0.5366 (multiplicity 4)  3 Ti 1.90-2.02
O 0.2808 0.7421 0.8868 (multiplicity 4)  1 P 1.69
O 0.2888 0.0805 0.7111 (multiplicity 4)  3 Ti 1.92-2.00
O 0.3202 0.5947 0.0635 (multiplicity 4)  1 P 1.65
O 0.4810 0.2435 0.7432 (multiplicity 4)  3 Ti 1.92-2.03
O 0.4830 0.0933 0.0868 (multiplicity 4)  3 Ti 1.90-2.02
O 0.4837 0.5889 0.9036 (multiplicity 4)  1 P 1.62

Summary:
Energy relative to the elements, uncorrected   -2.811 eV per atom



(10)
The following is a GGA-PBEsol calculation of a relaxed structure of V5Cr5Ge6, from the Alexandria database.

Cell: 13.1405 4.7187 9.2827 Å, 90.00 134.82 90.00°
With the nearest neighbours (Å) after each atom.
Space group Cm (No. 8)
One atom of each set of equivalent atoms:
V 0.0000 0.0000 0.0000 (multiplicity 2)  6 Ge 2.46-2.70, 1 Cr 2.55, 2 V 2.75
V 0.0016 0.5000 0.5356 (multiplicity 2)  6 Ge 2.46-2.66, 3 Cr 2.46-2.74
V 0.3495 0.0000 0.8528 (multiplicity 2)  6 Ge 2.47-2.68, 1 Cr 2.55, 2 V 2.75
V 0.4255 0.2495 0.1944 (multiplicity 4)  2 V 2.35-2.36, 4 Ge 2.50-2.52
Cr 0.1552 0.0000 0.8515 (multiplicity 2)  6 Ge 2.43-2.69, 1 V 2.55, 2 Cr 2.72
Cr 0.1549 0.5000 0.9979 (multiplicity 2)  6 Ge 2.42-2.69, 1 Cr 2.55
Cr 0.1905 0.5000 0.5385 (multiplicity 2)  6 Ge 2.45-2.66, 1 V 2.46
Cr 0.1930 0.0000 0.3877 (multiplicity 2)  6 Ge 2.44-2.67, 1 V 2.55
Cr 0.3512 0.5000 0.3852 (multiplicity 2)  6 Ge 2.42-2.67, 1 Cr 2.55
Ge 0.0928 0.0000 0.5308 (multiplicity 2)  5 Cr 2.42-2.66, 5 V 2.47-2.66
Ge 0.0973 0.5000 0.1981 (multiplicity 2)  5 Cr 2.45-2.67, 5 V 2.48-2.70
Ge 0.2562 0.0000 0.1941 (multiplicity 2)  6 Cr 2.43-2.69, 4 V 2.46-2.52
Ge 0.2571 0.5000 0.8602 (multiplicity 2)  4 Cr 2.42-2.69, 6 V 2.46-2.68
Ge 0.4225 0.2506 0.6895 (multiplicity 4)  2 Ge 2.35-2.37, 5 Cr 2.54-2.57, 3 V 2.57-2.58

Summary:
Energy of formation   -228 meV per atom



(11)
The following is a GGA-PBEsol calculation of a relaxed structure of YZrZn, from the Alexandria database.

Cell: 6.7020 6.7020 6.7020 Å, 90.00 90.00 90.00°
With the nearest neighbours (Å) after each atom.
Space group F-43m (No. 216)
One atom of each set of equivalent atoms:
Y 0.0000 0.0000 0.0000 (multiplicity 4)  4 Zr 2.90, 4 Zn 2.90
Zr 0.2500 0.2500 0.2500 (multiplicity 4)  4 Y 2.90
Zn 0.2500 0.2500 0.7500 (multiplicity 4)  4 Y 2.90

Summary:
Excess energy over the best structure of this formula in the dataset   1120 meV/atom
Energy of formation   959 meV per atom



(12)
The following is a GGA-PBEsol calculation of a relaxed structure of K2MgF4, from the Alexandria database.

Cell: 3.9715 3.9715 13.0822 Å, 90.00 90.00 90.00°
With the nearest neighbours (Å) after each atom.
Space group I4/mmm (No. 139)
One atom of each set of equivalent atoms:
K 0.0000 0.0000 0.1478 (multiplicity 4)  9 F 2.61-2.81
Mg 0.0000 0.0000 0.5000 (multiplicity 2)  6 F 1.99-2.00
F 0.0000 0.0000 0.3471 (multiplicity 4)  1 Mg 2.00
F 0.0000 0.5000 0.0000 (multiplicity 4)  2 Mg 1.99

Summary:
Energy relative to the elements, uncorrected   -3.154 eV per atom